First-principles (PBE) data for crystalline Li2Ca2Ag at its relaxed geometry, as listed in the Alexandria database.

The structure in extended XYZ format:
```
10
Lattice="8.0902 0.0000 0.0000 0.0000 8.0902 0.0000 0.0000 0.0000 4.7177" Properties=species:S:1:pos:R:3 pbc="T T T"
Ca 1.3153 2.7298 0.0000
Ca 2.7298 6.7748 0.0000
Ca 6.7748 5.3604 0.0000
Ca 5.3604 1.3153 0.0000
Li 6.9673 2.9222 2.3589
Li 1.1229 5.1679 2.3589
Li 2.9222 1.1229 2.3589
Li 5.1679 6.9673 2.3589
Ag 4.0451 4.0451 0.0000
Ag 0.0000 0.0000 0.0000
```

ΔH_f (0 K) ... 0.134 eV per atom